<a>
# NiSb2Br | Alexandria via LeMat-Bulk | meta-GGA SCAN | PBEsol geometry
data_NiSb2Br
_symmetry_space_group_name_H-M 'P 4/m m m'
_symmetry_Int_Tables_number 123
_symmetry_space_group_name_Hall '-P 4 2'
_cell_length_a 5.1695
_cell_length_b 5.1695
_cell_length_c 3.1058
_cell_angle_alpha 90.00
_cell_angle_beta 90.00
_cell_angle_gamma 90.00
loop_
_atom_site_label
_atom_site_fract_x
_atom_site_fract_y
_atom_site_fract_z
Ni1 0.0000 0.0000 0.0000
Sb1 0.0000 0.5000 0.5000
Br1 0.5000 0.5000 0.0000
# crystal system = tetragonal
# volume = 83.00 Å³/f.u.
# N(E_F) = 3.04 states/eV/f.u.
# magnetic moment = 0.0 μB per formula unit



<b>
# NiSb2Br | Alexandria via LeMat-Bulk | meta-GGA SCAN | PBEsol geometry
data_NiSb2Br
_symmetry_space_group_name_H-M 'R 3 m'
_symmetry_Int_Tables_number 160
_symmetry_space_group_name_Hall 'R 3 -2"'
_cell_length_a 3.5160
_cell_length_b 3.5160
_cell_length_c 25.3562
_cell_angle_alpha 90.00
_cell_angle_beta 90.00
_cell_angle_gamma 120.00
loop_
_atom_site_label
_atom_site_fract_x
_atom_site_fract_y
_atom_site_fract_z
Ni1 0.0000 0.0000 0.0000
Sb1 0.0000 0.0000 0.2745
Sb2 0.0000 0.0000 0.5127
Br1 0.0000 0.0000 0.7218
# crystal system = trigonal
# volume = 90.49 Å³/f.u.
# N(E_F) = 1.47 states/eV/f.u.
# magnetic moment = 0.0 μB per formula unit



Most stable: <b>. Least stable: <a>.



<a>
# SiNiBr2 | Alexandria via LeMat-Bulk | meta-GGA SCAN | PBEsol geometry
data_SiNiBr2
_symmetry_space_group_name_H-M 'C m m 2'
_symmetry_Int_Tables_number 35
_symmetry_space_group_name_Hall 'C 2 -2'
_cell_length_a 3.5304
_cell_length_b 6.0331
_cell_length_c 7.9319
_cell_angle_alpha 90.00
_cell_angle_beta 90.00
_cell_angle_gamma 90.00
loop_
_atom_site_label
_atom_site_fract_x
_atom_site_fract_y
_atom_site_fract_z
Si1 0.0000 0.0000 0.0000
Ni1 0.0000 0.5000 0.8358
Br1 0.0000 0.0000 0.6323
Br2 0.0000 0.5000 0.2507
# crystal system = orthorhombic
# volume = 84.47 Å³/f.u.
# N(E_F) = 0.93 states/eV/f.u.
# magnetic moment = 0.0 μB per formula unit



<b>
# SiNiBr2 | Alexandria via LeMat-Bulk | meta-GGA SCAN | PBEsol geometry
data_SiNiBr2
_symmetry_space_group_name_H-M 'I m m m'
_symmetry_Int_Tables_number 71
_symmetry_space_group_name_Hall '-I 2 2'
_cell_length_a 3.3892
_cell_length_b 3.4126
_cell_length_c 14.0159
_cell_angle_alpha 90.00
_cell_angle_beta 90.00
_cell_angle_gamma 90.00
loop_
_atom_site_label
_atom_site_fract_x
_atom_site_fract_y
_atom_site_fract_z
Si1 0.0000 0.0000 0.0000
Ni1 0.0000 0.0000 0.5000
Br1 0.0000 0.5000 0.3503
# crystal system = orthorhombic
# volume = 81.05 Å³/f.u.
# N(E_F) = 1.07 states/eV/f.u.
# magnetic moment = 0.5 μB per formula unit



Most stable: <b>. Least stable: <a>.



<a>
# Si2NiBr | Alexandria via LeMat-Bulk | meta-GGA SCAN | PBEsol geometry
data_Si2NiBr
_symmetry_space_group_name_H-M 'P 4 m m'
_symmetry_Int_Tables_number 99
_symmetry_space_group_name_Hall 'P 4 -2'
_cell_length_a 3.1595
_cell_length_b 3.1595
_cell_length_c 6.7185
_cell_angle_alpha 90.00
_cell_angle_beta 90.00
_cell_angle_gamma 90.00
loop_
_atom_site_label
_atom_site_fract_x
_atom_site_fract_y
_atom_site_fract_z
Si1 0.0000 0.0000 0.0000
Si2 0.5000 0.5000 0.1930
Ni1 0.5000 0.5000 0.8455
Br1 0.0000 0.0000 0.6049
# crystal system = tetragonal
# volume = 67.07 Å³/f.u.
# N(E_F) = 1.18 states/eV/f.u.
# magnetic moment = 0.0 μB per formula unit



<b>
# Si2NiBr | Alexandria via LeMat-Bulk | meta-GGA SCAN | PBEsol geometry
data_Si2NiBr
_symmetry_space_group_name_H-M 'C 1 m 1'
_symmetry_Int_Tables_number 8
_symmetry_space_group_name_Hall 'C -2y'
_cell_length_a 7.2558
_cell_length_b 3.3300
_cell_length_c 6.9455
_cell_angle_alpha 90.00
_cell_angle_beta 121.45
_cell_angle_gamma 90.00
loop_
_atom_site_label
_atom_site_fract_x
_atom_site_fract_y
_atom_site_fract_z
Si1 0.0000 0.0000 0.0000
Si2 0.2057 0.0000 0.8318
Ni1 0.2749 0.5000 0.1346
Br1 0.4377 0.0000 0.4428
# crystal system = monoclinic
# volume = 71.58 Å³/f.u.
# N(E_F) = 1.90 states/eV/f.u.
# magnetic moment = 0.0 μB per formula unit



Most stable: <b>. Least stable: <a>.